# SrMnCl PBE optimized geometry
# Raw formation energy, meV per atom: -332
# Raw total energy, eV per cell: -13.694
data_SrMnCl
_chemical_formula_sum 'Sr1 Mn1 Cl1'
_symmetry_space_group_name_H-M 'P 3 m 1'
_symmetry_Int_Tables_number 156
_cell_length_a 3.9534
_cell_length_b 3.9534
_cell_length_c 6.6669
_cell_angle_alpha 90.00
_cell_angle_beta 90.00
_cell_angle_gamma 120.00
loop_
_symmetry_equiv_pos_as_xyz
'x,y,z'
'-y,x-y,z'
'-x+y,-x,z'
'-y,-x,z'
'-x+y,y,z'
'x,x-y,z'
loop_
_atom_site_label
_atom_site_type_symbol
_atom_site_fract_x
_atom_site_fract_y
_atom_site_fract_z
Sr1 Sr 0.0000 0.0000 0.0000
Mn1 Mn 0.6667 0.3333 0.6313
Cl1 Cl 0.3333 0.6667 0.2857

=====

# Pm2AlZn4Ag3 PBE optimized geometry
# Raw total energy, eV per cell: -29.488
# Energy of formation, meV per atom: -259.5
data_Pm2AlZn4Ag3
_chemical_formula_sum 'Pm2 Al1 Zn4 Ag3'
_symmetry_space_group_name_H-M 'P -4 m 2'
_symmetry_Int_Tables_number 115
_cell_length_a 4.171
_cell_length_b 4.171
_cell_length_c 11.682
_cell_angle_alpha 90.00
_cell_angle_beta 90.00
_cell_angle_gamma 90.00
loop_
_symmetry_equiv_pos_as_xyz
'x,y,z'
'y,-x,-z'
'-x,-y,z'
'-y,x,-z'
'-x,y,z'
'-y,-x,-z'
'x,-y,z'
'y,x,-z'
loop_
_atom_site_label
_atom_site_type_symbol
_atom_site_fract_x
_atom_site_fract_y
_atom_site_fract_z
Pm1 Pm 0.000 0.500 0.243
Al1 Al 0.500 0.500 0.000
Zn1 Zn 0.000 0.000 0.500
Zn2 Zn 0.000 0.500 0.863
Zn3 Zn 0.500 0.500 0.500
Ag1 Ag 0.000 0.000 0.000
Ag2 Ag 0.000 0.500 0.642

=====

# Sm4S3N2 PBE optimized geometry
# Raw formation energy, meV per atom: -1875
# Raw total energy, eV per cell: -129.563
data_Sm4S3N2
_chemical_formula_sum 'Sm8 S6 N4'
_symmetry_space_group_name_H-M 'C 1 2/m 1'
_symmetry_Int_Tables_number 12
_cell_length_a 13.288
_cell_length_b 3.937
_cell_length_c 10.164
_cell_angle_alpha 90.00
_cell_angle_beta 128.71
_cell_angle_gamma 90.00
loop_
_symmetry_equiv_pos_as_xyz
'x,y,z'
'-x,-y,-z'
'-x,y,-z'
'x,-y,z'
'x+1/2,y+1/2,z'
'-x+1/2,-y+1/2,-z'
'-x+1/2,y+1/2,-z'
'x+1/2,-y+1/2,z'
loop_
_atom_site_label
_atom_site_type_symbol
_atom_site_fract_x
_atom_site_fract_y
_atom_site_fract_z
Sm1 Sm 0.063 0.000 0.356
Sm2 Sm 0.243 0.500 0.852
S1 S 0.000 0.500 0.500
S2 S 0.170 0.500 0.282
N1 N 0.146 0.000 0.861

=====

Spin magnetization: 1.34, 0.00, 0.00 (μB/atom)